The following is a DFT calculation (PBE+U) of FePt2F8 after structural relaxation.

Structure (CIF):
```
data_FePt2F8
_symmetry_space_group_name_H-M 'P 1'
_symmetry_Int_Tables_number 1
_cell_length_a 5.742
_cell_length_b 5.742
_cell_length_c 4.738
_cell_angle_alpha 92.90
_cell_angle_beta 92.90
_cell_angle_gamma 72.05
loop_
_symmetry_equiv_pos_as_xyz
'x,y,z'
loop_
_atom_site_label
_atom_site_fract_x
_atom_site_fract_y
_atom_site_fract_z
_atom_site_occupancy
Fe1 0.000 0.000 0.000 1
Pt1 0.381 0.381 0.755 1
Pt2 0.619 0.619 0.245 1
F1 0.090 0.679 0.758 1
F2 0.169 0.169 0.748 1
F3 0.321 0.910 0.242 1
F4 0.401 0.401 0.260 1
F5 0.599 0.599 0.740 1
F6 0.679 0.090 0.758 1
F7 0.831 0.831 0.252 1
F8 0.910 0.321 0.242 1
```

Values from the calculation:
Crystal system = monoclinic
Mass density = 6697 kg/m3
E_tot = -4.25 eV per atom
Magnetization = 0.1 μB per formula unit
SG = No. 12